Density functional theory data (GGA-PBE) for an optimized crystal structure of Si2PSe.

Properties
- ΔE_f (raw): 0.12 eV per atom
- Crystal system: tetragonal
- E_tot: -4.82 eV/atom
- Energy above the lowest structure with this stoichiometry: 160 meV per atom
- Spin magnetization: 0.0 Bohr magnetons per cell

a b c (Å): 3.6318 3.6318 5.4285
angles (deg): 90.00 90.00 90.00
With the nearest neighbours (Å) after each atom.
Space group P4mm (No. 99)
Asymmetric unit:
1 Si 0.0000 0.0000 0.0000  1 P 2.36, 4 Se 2.59
2 Si 0.5000 0.5000 0.4701  1 Se 2.51, 4 P 2.58
3 P 0.0000 0.0000 0.4348  5 Si 2.36-2.58
4 Se 0.5000 0.5000 0.9320  5 Si 2.51-2.59